Density functional theory data (PBE-GGA) for crystalline NaCd2Rh at its relaxed geometry.

DFT total energy = -2.337 eV per atom
space-group type = I-42d, No. 122
ΔH_f (0 K) = 0.288 eV per atom

Unit cell a=4.257 b=4.257 c=10.102 alpha=77.84 beta=77.84 gamma=90.00
Positions (direct):
Na1 0.500 0.500 0.000
Na2 0.250 0.750 0.500
Rh1 0.000 0.000 0.000
Rh2 0.750 0.250 0.500
Cd1 0.651 0.125 0.250
Cd2 0.099 0.625 0.250
Cd3 0.375 0.349 0.750
Cd4 0.875 0.901 0.750